A plane-wave DFT calculation with PBE+U was carried out for a relaxed structure of Mg2VRuO.

Results
The density comes out at 3.08 g/cm³. The value obtained for the total energy is -17.9 eV/f.u. The magnetization is 2.71 μB per cell.

CIF file:
```
data_Mg2VRuO
_chemical_formula_sum 'Mg2 V1 Ru1 O1'
_cell_length_a 5.188
_cell_length_b 5.188
_cell_length_c 4.340
_cell_angle_alpha 90.00
_cell_angle_beta 90.00
_cell_angle_gamma 90.00
_space_group_name_H-M_alt 'P 1'
_space_group_IT_number 1
loop_
_space_group_symop_operation_xyz
'x,y,z'
loop_
_atom_site_label
_atom_site_type_symbol
_atom_site_fract_x
_atom_site_fract_y
_atom_site_fract_z
Mg1 Mg 0.000 0.500 0.000
Mg2 Mg 0.500 0.000 0.000
V1 V 0.000 0.000 0.000
Ru1 Ru 0.000 0.000 0.500
O1 O 0.500 0.500 0.500
```